Material: Ba2FeSiHg
Method: DFT, PBE
State: relaxed

Results
DFT total energy in eV per atom: -3.645
Uncorrected formation energy in eV/atom: -0.04
M_tot in μB per formula unit: 1.25
Distance to the lowest polymorph of the same formula in meV per atom: 0
V in Å³/cell: 159

Cell: 5.955 5.955 4.489 Å, 90.00 90.00 90.00°
Positions (direct):
Ba  0.000  0.500  0.000
Ba  0.500  0.000  0.000
Fe  0.000  0.000  0.000
Si  0.000  0.000  0.500
Hg  0.500  0.500  0.500

***

Material: BaFeSn2Hg
Method: DFT, PBE
State: relaxed

Results
DFT total energy in eV per atom: -3.934
M_tot in μB per formula unit: 1.92
V in Å³/cell: 137
Calculated formation energy in eV per formula unit: -0.98

Cell: 5.078 5.078 5.295 Å, 90.00 90.00 90.00°
Positions (direct):
Ba  0.000  0.000  0.000
Fe  0.500  0.500  0.500
Sn  0.000  0.500  0.500
Sn  0.500  0.000  0.500
Hg  0.500  0.500  0.000

***

Material: BaSrFeHg2
Method: DFT, PBE
State: relaxed

Results
DFT total energy in eV per atom: -2.399
M_tot in μB per formula unit: 0.00
Distance to the lowest polymorph of the same formula in meV per atom: 0
V in Å³/cell: 146
Calculated formation energy in eV per formula unit: 0.68

Cell: 5.351 5.351 5.097 Å, 90.00 90.00 90.00°
Positions (direct):
Ba  0.000  0.000  0.000
Sr  0.500  0.500  0.000
Fe  0.500  0.500  0.500
Hg  0.000  0.500  0.500
Hg  0.500  0.000  0.500

***

Material: BaSrFeHg2
Method: DFT, PBE
State: relaxed

Results
DFT total energy in eV per atom: -1.411
M_tot in μB per formula unit: 3.07
Distance to the lowest polymorph of the same formula in meV per atom: 989
V in Å³/cell: 284
Calculated formation energy in eV per formula unit: 5.62

Cell: 6.214 6.214 7.350 Å, 90.00 90.00 90.00°
Positions (direct):
Ba  0.000  0.000  0.000
Sr  0.000  0.000  0.500
Fe  0.500  0.500  0.500
Hg  0.000  0.500  0.000
Hg  0.500  0.000  0.000

***

Material: Ba2TlFeHg
Method: DFT, PBE
State: relaxed

Results
DFT total energy in eV per atom: -2.559
M_tot in μB per formula unit: 2.51
V in Å³/cell: 270
Calculated formation energy in eV per formula unit: 2.18

Cell: 7.101 7.101 5.359 Å, 90.00 90.00 90.00°
Positions (direct):
Ba  0.000  0.500  0.000
Ba  0.500  0.000  0.000
Tl  0.000  0.000  0.500
Fe  0.500  0.500  0.500
Hg  0.500  0.500  0.000

***

Material: Ba2YFeHg
Method: DFT, PBE
State: relaxed

Results
DFT total energy in eV per atom: -3.227
M_tot in μB per formula unit: 0.00
V in Å³/cell: 167
Calculated formation energy in eV per formula unit: 2.94

Cell: 5.598 5.598 5.315 Å, 90.00 90.00 90.00°
Positions (direct):
Ba  0.000  0.500  0.000
Ba  0.500  0.000  0.000
Y  0.000  0.000  0.500
Fe  0.500  0.500  0.000
Hg  0.500  0.500  0.500

***

Material: BaHo2Fe
Method: DFT, PBE
State: relaxed

Results
DFT total energy in eV per atom: -4.570
M_tot in μB per formula unit: 0.70
V in Å³/cell: 394
Calculated formation energy in eV per formula unit: 1.26

Cell: 3.789 3.789 31.712 Å, 90.00 90.00 120.00°
Positions (direct):
Ba  0.000  0.000  0.000
Ba  0.333  0.667  0.667
Ba  0.667  0.333  0.333
Ho  0.000  0.000  0.118
Ho  0.000  0.000  0.882
Ho  0.333  0.667  0.548
Ho  0.333  0.667  0.785
Ho  0.667  0.333  0.215
Ho  0.667  0.333  0.452
Fe  0.000  0.000  0.500
Fe  0.333  0.667  0.167
Fe  0.667  0.333  0.833

***

Repeat the second record exactly.
Material: BaFeSn2Hg
Method: DFT, PBE
State: relaxed

Results
DFT total energy in eV per atom: -3.934
M_tot in μB per formula unit: 1.92
V in Å³/cell: 137
Calculated formation energy in eV per formula unit: -0.98

Cell: 5.078 5.078 5.295 Å, 90.00 90.00 90.00°
Positions (direct):
Ba  0.000  0.000  0.000
Fe  0.500  0.500  0.500
Sn  0.000  0.500  0.500
Sn  0.500  0.000  0.500
Hg  0.500  0.500  0.000

***

Which of these has the lowest DFT total energy? BaHo2Fe